A:
First-principles (PBE) data for a geometry-optimized LiCaNb structure, as listed in the Alexandria database.

## Properties
The value obtained for the calculated volume is 149 Å³ per cell. Its total magnetization is 0.000 μB/f.u.

a b c (Å): 3.2283 3.2283 15.2931
angles (deg): 90.12 90.12 68.94
Closest atoms and distances in Å follow each position.
Positions (direct):
Li: 0.0000 0.0000 0.0000  6 Li 2.97-3.23
Li: 0.5012 0.5012 0.8467  6 Li 2.97-3.23
Ca: 0.4859 0.4859 0.1877  2 Nb 3.23, 4 Ca 3.23, 2 Li 3.40
Ca: 0.9925 0.9925 0.6588  2 Nb 3.23, 4 Ca 3.23, 2 Li 3.41
Nb: 0.4889 0.4889 0.4848  2 Nb 2.62
Nb: 0.9877 0.9877 0.3617  2 Nb 2.62

=====

B:
First-principles (PBE) data for a geometry-optimized LiCaNb structure, as listed in the Alexandria database.

## Properties
The value obtained for the calculated volume is 291 Å³ per cell. Its total magnetization is 0.000 μB/f.u.

a b c (Å): 8.4832 3.4201 10.0385
angles (deg): 90.00 90.00 90.00
Closest atoms and distances in Å follow each position.
Positions (direct):
Li: 0.2212 0.2500 0.1161  3 Nb 2.97-3.13, 5 Ca 3.09-3.24
Li: 0.2788 0.7500 0.6161  3 Nb 2.97-3.13, 5 Ca 3.09-3.24
Li: 0.7212 0.2500 0.3839  3 Nb 2.97-3.13, 5 Ca 3.09-3.24
Li: 0.7788 0.7500 0.8839  3 Nb 2.97-3.13, 5 Ca 3.09-3.24
Ca: 0.0946 0.2500 0.8192  5 Li 3.09-3.24, 2 Ca 3.42, 4 Nb 3.44-3.46
Ca: 0.4054 0.7500 0.3192  5 Li 3.09-3.24, 2 Ca 3.42, 4 Nb 3.44-3.46
Ca: 0.5946 0.2500 0.6808  5 Li 3.09-3.24, 2 Ca 3.42, 4 Nb 3.44-3.46
Ca: 0.9054 0.7500 0.1808  5 Li 3.09-3.24, 2 Ca 3.42, 4 Nb 3.44-3.46
Nb: 0.0840 0.2500 0.4391  2 Nb 2.54
Nb: 0.4160 0.7500 0.9391  2 Nb 2.54
Nb: 0.5840 0.2500 0.0609  2 Nb 2.54
Nb: 0.9160 0.7500 0.5609  2 Nb 2.54

=====

Which structure is the least stable? The one labeled B.

=====

A:
First-principles (PBE) data for a geometry-optimized LiCaNb structure, as listed in the Alexandria database.

## Properties
The value obtained for the calculated volume is 144 Å³ per cell. Its total magnetization is 0.000 μB/f.u.

a b c (Å): 6.2498 6.2498 4.7049
angles (deg): 90.00 90.00 128.51
Closest atoms and distances in Å follow each position.
Positions (direct):
Li: 0.0602 0.9398 0.7500  2 Li 2.71, 2 Nb 2.93
Li: 0.9398 0.0602 0.2500  2 Li 2.71, 2 Nb 2.93
Ca: 0.2508 0.7492 0.2500  5 Li 3.18-3.50, 3 Nb 3.24-3.34
Ca: 0.7492 0.2508 0.7500  5 Li 3.18-3.50, 3 Nb 3.24-3.34
Nb: 0.4614 0.5386 0.7500  2 Nb 2.51
Nb: 0.5386 0.4614 0.2500  2 Nb 2.51

=====

B:
First-principles (PBE) data for a geometry-optimized LiCaNb structure, as listed in the Alexandria database.

## Properties
The value obtained for the calculated volume is 135 Å³ per cell. Its total magnetization is 0.000 μB/f.u.

a b c (Å): 4.7543 3.3284 8.8813
angles (deg): 90.00 105.42 90.00
Closest atoms and distances in Å follow each position.
Positions (direct):
Li: 0.0731 0.2500 0.1430  4 Ca 2.96, 2 Li 2.96, 2 Nb 3.24
Li: 0.9269 0.7500 0.8570  4 Ca 2.96, 2 Li 2.96, 2 Nb 3.24
Ca: 0.3931 0.2500 0.7887  4 Li 2.96, 4 Nb 3.21-3.24
Ca: 0.6069 0.7500 0.2113  4 Li 2.96, 4 Nb 3.21-3.24
Nb: 0.2340 0.7500 0.4675  4 Nb 2.95-2.96, 4 Ca 3.21-3.24, 2 Li 3.24
Nb: 0.7660 0.2500 0.5325  4 Nb 2.95-2.96, 4 Ca 3.21-3.24, 2 Li 3.24

=====

Which structure is the least stable? The one labeled A.

=====

A:
First-principles (PBE) data for a geometry-optimized LiCaNb structure, as listed in the Alexandria database.

## Properties
The value obtained for the calculated volume is 177 Å³ per cell. Its total magnetization is 2.902 μB/f.u.

a b c (Å): 4.2374 4.2374 11.3639
angles (deg): 90.00 90.00 120.00
Closest atoms and distances in Å follow each position.
Positions (direct):
Li: 0.3333 0.6667 0.2500  3 Ca 2.45
Li: 0.6667 0.3333 0.7500  3 Ca 2.45
Ca: 0.0000 0.0000 0.2500  3 Li 2.45
Ca: 0.0000 0.0000 0.7500  3 Li 2.45
Nb: 0.0000 0.0000 0.0000  2 Ca 2.84
Nb: 0.0000 0.0000 0.5000  2 Ca 2.84

=====

B:
First-principles (PBE) data for a geometry-optimized LiCaNb structure, as listed in the Alexandria database.

## Properties
The value obtained for the calculated volume is 150 Å³ per cell. Its total magnetization is 0.000 μB/f.u.

a b c (Å): 3.5942 3.5978 11.5670
angles (deg): 90.00 90.14 90.00
Closest atoms and distances in Å follow each position.
Positions (direct):
Li: 0.2498 0.2500 0.0627  4 Li 2.92-2.93
Li: 0.7502 0.7500 0.9373  4 Li 2.92-2.93
Ca: 0.2507 0.2500 0.7373  5 Nb 3.27-3.38, 4 Li 3.43-3.44, 4 Ca 3.59-3.60
Ca: 0.7492 0.7500 0.2627  5 Nb 3.27-3.38, 4 Li 3.43-3.44, 4 Ca 3.59-3.60
Nb: 0.2497 0.2500 0.4551  4 Nb 2.75
Nb: 0.7503 0.7500 0.5449  4 Nb 2.75

=====

Which structure is the least stable? The one labeled A.

=====

A:
First-principles (PBE) data for a geometry-optimized LiCaNb structure, as listed in the Alexandria database.

## Properties
The value obtained for the calculated volume is 143 Å³ per cell. Its total magnetization is 0.000 μB/f.u.

a b c (Å): 6.0537 6.0537 6.0537
angles (deg): 118.90 82.57 130.24
Closest atoms and distances in Å follow each position.
Positions (direct):
Li: 0.0000 0.0000 0.0000  4 Nb 3.01-3.05, 2 Li 3.08, 4 Ca 3.12-3.19
Li: 0.0000 0.5000 0.5000  4 Nb 3.01-3.05, 2 Li 3.08, 4 Ca 3.12-3.19
Ca: 0.3924 0.2575 0.6349  4 Li 3.12-3.19, 1 Nb 3.49
Ca: 0.6226 0.7575 0.3651  4 Li 3.12-3.19, 1 Nb 3.49
Nb: 0.0192 0.5125 0.0068  2 Nb 2.55
Nb: 0.5057 0.0125 0.9932  2 Nb 2.55

=====

B:
First-principles (PBE) data for a geometry-optimized LiCaNb structure, as listed in the Alexandria database.

## Properties
The value obtained for the calculated volume is 134 Å³ per cell. Its total magnetization is 0.000 μB/f.u.

a b c (Å): 4.9198 4.9198 6.3818
angles (deg): 90.00 90.00 119.89
Closest atoms and distances in Å follow each position.
Positions (direct):
Li: 0.1674 0.8326 0.7500  3 Nb 2.84
Li: 0.8326 0.1674 0.2500  3 Nb 2.84
Ca: 0.5000 0.5000 0.0000  2 Ca 3.19, 6 Li 3.25-3.26, 6 Nb 3.26
Ca: 0.5000 0.5000 0.5000  2 Ca 3.19, 6 Li 3.25-3.26, 6 Nb 3.26
Nb: 0.1658 0.8342 0.2500  3 Li 2.84
Nb: 0.8342 0.1658 0.7500  3 Li 2.84

=====

Which structure is the least stable? The one labeled B.

=====

A:
First-principles (PBE) data for a geometry-optimized LiCa2Nb structure, as listed in the Alexandria database.

## Properties
The value obtained for the calculated volume is 224 Å³ per cell. Its total magnetization is 3.260 μB/f.u.

a b c (Å): 6.7053 6.7053 6.7053
angles (deg): 103.58 103.58 122.04
Closest atoms and distances in Å follow each position.
Positions (direct):
Li: 0.0000 0.0000 0.0000  4 Ca 2.91, 2 Nb 3.25
Li: 0.7500 0.2500 0.5000  4 Ca 2.91, 2 Nb 3.25
Ca: 0.1013 0.6250 0.9763  2 Li 2.91, 2 Nb 3.18
Ca: 0.3750 0.3513 0.4763  2 Li 2.91, 2 Nb 3.18
Ca: 0.6487 0.1250 0.0237  2 Li 2.91, 2 Nb 3.18
Ca: 0.8750 0.8987 0.5237  2 Li 2.91, 2 Nb 3.18
Nb: 0.2500 0.7500 0.5000  4 Ca 3.18, 2 Li 3.25
Nb: 0.5000 0.5000 0.0000  4 Ca 3.18, 2 Li 3.25

=====

B:
First-principles (PBE) data for a geometry-optimized LiCa2Nb structure, as listed in the Alexandria database.

## Properties
The value obtained for the calculated volume is 115 Å³ per cell. Its total magnetization is 3.925 μB/f.u.

a b c (Å): 5.4592 5.4592 5.4592
angles (deg): 60.00 60.00 60.00
Closest atoms and distances in Å follow each position.
Positions (direct):
Li: 0.0000 0.0000 0.0000  8 Ca 3.34
Ca: 0.2500 0.2500 0.2500  4 Nb 3.34, 4 Li 3.34
Ca: 0.7500 0.7500 0.7500  4 Nb 3.34, 4 Li 3.34
Nb: 0.5000 0.5000 0.5000  8 Ca 3.34

=====

Which structure is the least stable? The one labeled A.

=====

A:
First-principles (PBE) data for a geometry-optimized LiCa3Nb structure, as listed in the Alexandria database.

## Properties
The value obtained for the calculated volume is 158 Å³ per cell. Its total magnetization is 0.000 μB/f.u.

a b c (Å): 5.4021 5.4021 5.4021
angles (deg): 90.00 90.00 90.00
Closest atoms and distances in Å follow each position.
Positions (direct):
Li: 0.0000 0.0000 0.0000  6 Ca 2.70
Ca: 0.0000 0.0000 0.5000  2 Li 2.70
Ca: 0.0000 0.5000 0.0000  2 Li 2.70
Ca: 0.5000 0.0000 0.0000  2 Li 2.70
Nb: 0.5000 0.5000 0.5000  12 Ca 3.82

=====

B:
First-principles (PBE) data for a geometry-optimized LiCa3Nb structure, as listed in the Alexandria database.

## Properties
The value obtained for the calculated volume is 180 Å³ per cell. Its total magnetization is 0.000 μB/f.u.

a b c (Å): 5.6496 5.6496 5.6496
angles (deg): 90.00 90.00 90.00
Closest atoms and distances in Å follow each position.
Positions (direct):
Li: 0.0000 0.0000 0.0000  12 Ca 3.99
Ca: 0.0000 0.5000 0.5000  2 Nb 2.82
Ca: 0.5000 0.0000 0.5000  2 Nb 2.82
Ca: 0.5000 0.5000 0.0000  2 Nb 2.82
Nb: 0.5000 0.5000 0.5000  6 Ca 2.82

=====

Which structure is the least stable? The one labeled A.